UCdNiO6 after structural relaxation, computed with GGA+U.

Structure (POSCAR):
```
UCdNiO6
1.0
4.948 0.000 0.000
0.000 4.948 0.000
0.000 0.000 9.609
U Cd Ni O
2 2 2 12
Direct
0.500 0.500 0.500
0.000 0.000 0.000
0.500 0.500 0.165
0.000 0.000 0.665
0.500 0.500 0.833
0.000 0.000 0.333
0.195 0.805 0.481
0.805 0.195 0.481
0.305 0.305 0.981
0.695 0.695 0.981
0.176 0.824 0.172
0.824 0.176 0.172
0.324 0.324 0.672
0.676 0.676 0.672
0.797 0.203 0.848
0.203 0.797 0.848
0.703 0.703 0.348
0.297 0.297 0.348
```

## Properties
As for the total magnetization: 0.025 μB per formula unit. The value obtained for the total DFT energy (no corrections) is -6.61 eV/atom. For the density of states at the Fermi level, the calculation gives 0.537 states/eV per atom. Its space group is P4_2nm, No. 102.